Entry 1:
Here is a relaxed Ca3MgPd3 crystal from Alexandria. Energies are from PBE-GGA.

The value obtained for the energy of formation from the pure elements is -581 meV per atom. The uncorrected energy is -3.892 eV per atom. As for the size of the total moment: 0.000 μB per atom. The energy above the most stable polymorph in this dataset comes out at 0.669 eV/f.u. For the calculated volume, the calculation gives 23.5 Å³/atom.

Lattice parameters (Å, degrees): 6.939 6.939 6.847 90.00 90.00 84.76
Element x y z (fractional)
Pd 0.000 0.500 0.778
Pd 0.000 0.500 0.222
Pd 0.500 0.000 0.778
Pd 0.500 0.000 0.222
Pd 0.000 0.000 0.229
Pd 0.000 0.000 0.771
Ca 0.243 0.243 0.500
Ca 0.718 0.282 0.000
Ca 0.247 0.753 0.500
Ca 0.282 0.718 0.000
Ca 0.753 0.247 0.500
Ca 0.757 0.757 0.500
Mg 0.217 0.217 0.000
Mg 0.783 0.783 0.000

Entry 2:
Here is a relaxed Al2InTe6Au crystal from Alexandria. Energies are from PBE-GGA.

For the uncorrected formation energy, the calculation gives -1.92 eV per formula unit. The uncorrected energy is -3.427 eV per atom. As for the size of the total moment: 0.000 μB per atom. For the calculated volume, the calculation gives 36.6 Å³/atom.

Lattice parameters (Å, degrees): 7.688 10.456 10.456 91.59 70.00 70.00
Element x y z (fractional)
Al 0.152 0.415 0.227
Al 0.348 0.773 0.585
Al 0.848 0.585 0.773
Al 0.652 0.227 0.415
Te 0.910 0.343 0.443
Te 0.090 0.657 0.557
Te 0.373 0.907 0.374
Te 0.590 0.557 0.657
Te 0.374 0.180 0.072
Te 0.410 0.443 0.343
Te 0.627 0.093 0.626
Te 0.873 0.374 0.907
Te 0.874 0.072 0.180
Te 0.127 0.626 0.093
Te 0.126 0.928 0.820
Te 0.626 0.820 0.928
In 0.250 0.151 0.849
In 0.750 0.849 0.151
Au 0.750 0.230 0.770
Au 0.250 0.770 0.230